# 1
A plane-wave DFT calculation with PBE-GGA was carried out for a relaxed structure of TaRe2Mo.

Geometry as POSCAR:
```
TaRe2Mo
1.0
-1.998 -4.365 1.580
2.317 -4.093 -1.850
1.557 4.225 2.295
Re Mo Ta
2 1 1
Direct
0.250 0.750 0.500
0.000 0.000 0.000
0.750 0.250 0.500
0.500 0.500 0.000
```

Output
- energy of formation (eV per atom) = 0.16
- space group = I-4m2 (119)
- crystal system = tetragonal
- E above lowest polymorph (meV per atom) = 309
- size of the total moment (μB/cell) = 0.00

***

# 2
A plane-wave DFT calculation with PBE-GGA was carried out for a relaxed structure of Y2Hf2Ge.

Geometry as POSCAR:
```
Y2Hf2Ge
1.0
-3.364 -0.602 2.034
1.227 -3.663 0.946
2.604 0.900 8.461
Hf Y Ge
2 2 1
Direct
0.750 0.250 0.500
0.250 0.750 0.500
0.590 0.590 0.819
0.410 0.410 0.181
0.000 0.000 0.000
```

Output
- energy of formation (eV per atom) = 0.29
- space group = I4/mmm (139)
- crystal system = tetragonal
- E above lowest polymorph (meV per atom) = 379
- size of the total moment (μB/cell) = 0.00

***

# 3
A plane-wave DFT calculation with PBE-GGA was carried out for a relaxed structure of NaBePd2Pt.

Geometry as POSCAR:
```
NaBePd2Pt
1.0
-1.826 -2.740 -2.822
3.672 -2.303 -0.141
-1.393 -2.420 3.252
Pd Na Be Pt
2 1 1 1
Direct
0.500 0.000 0.000
0.000 0.500 0.000
0.500 0.500 0.500
0.000 0.000 0.000
0.000 0.000 0.500
```

Output
- energy of formation (eV per atom) = -0.17
- space group = P4/mmm (123)
- crystal system = tetragonal
- size of the total moment (μB/cell) = 0.00

***

- The highest energy of formation belongs to which entry?
  Y2Hf2Ge

***

- energy of formation of number 1 (TaRe2Mo)?
  0.16 eV per atom